Record 1
# Ce2Zn3Ga4Hg (PBE, relaxed)
data_Ce2Zn3Ga4Hg
_chemical_formula_sum 'Ce2 Zn3 Ga4 Hg1'
_symmetry_space_group_name_H-M 'P -4 m 2'
_symmetry_Int_Tables_number 115
_cell_length_a 4.3270
_cell_length_b 4.3270
_cell_length_c 10.6788
_cell_angle_alpha 90.00
_cell_angle_beta 90.00
_cell_angle_gamma 90.00
loop_
_symmetry_equiv_pos_as_xyz
'x,y,z'
'y,-x,-z'
'-x,-y,z'
'-y,x,-z'
'-x,y,z'
'-y,-x,-z'
'x,-y,z'
'y,x,-z'
loop_
_atom_site_label
_atom_site_type_symbol
_atom_site_fract_x
_atom_site_fract_y
_atom_site_fract_z
Ce1 Ce 0.0000 0.5000 0.2425
Zn1 Zn 0.0000 0.5000 0.8719
Zn2 Zn 0.5000 0.5000 0.5000
Ga1 Ga 0.0000 0.0000 0.0000
Ga2 Ga 0.0000 0.5000 0.6459
Ga3 Ga 0.5000 0.5000 0.0000
Hg1 Hg 0.0000 0.0000 0.5000
# E in eV/f.u.: -31.92
# Volume in Å³ per cell: 199.9
# Fermi-level density of states in states/eV/atom: 1.59

=====

Record 2
# Ce2Zn4Ga3Hg (PBE, relaxed)
data_Ce2Zn4Ga3Hg
_chemical_formula_sum 'Ce2 Zn4 Ga3 Hg1'
_symmetry_space_group_name_H-M 'P -4 m 2'
_symmetry_Int_Tables_number 115
_cell_length_a 4.3109
_cell_length_b 4.3109
_cell_length_c 10.6836
_cell_angle_alpha 90.00
_cell_angle_beta 90.00
_cell_angle_gamma 90.00
loop_
_symmetry_equiv_pos_as_xyz
'x,y,z'
'y,-x,-z'
'-x,-y,z'
'-y,x,-z'
'-x,y,z'
'-y,-x,-z'
'x,-y,z'
'y,x,-z'
loop_
_atom_site_label
_atom_site_type_symbol
_atom_site_fract_x
_atom_site_fract_y
_atom_site_fract_z
Ce1 Ce 0.0000 0.5000 0.2387
Zn1 Zn 0.0000 0.0000 0.0000
Zn2 Zn 0.0000 0.5000 0.6436
Zn3 Zn 0.5000 0.5000 0.0000
Ga1 Ga 0.0000 0.5000 0.8697
Ga2 Ga 0.5000 0.5000 0.5000
Hg1 Hg 0.0000 0.0000 0.5000
# E in eV/f.u.: -30.03
# Volume in Å³ per cell: 198.5
# Fermi-level density of states in states/eV/atom: 1.32

=====

Record 3
# CeHoGa3 (PBE, relaxed)
data_CeHoGa3
_chemical_formula_sum 'Ce4 Ho4 Ga12'
_symmetry_space_group_name_H-M 'C m c m'
_symmetry_Int_Tables_number 63
_symmetry_space_group_name_Hall '-C 2c 2'
_cell_length_a 4.2720
_cell_length_b 25.6457
_cell_length_c 4.1772
_cell_angle_alpha 90.00
_cell_angle_beta 90.00
_cell_angle_gamma 90.00
loop_
_atom_site_label
_atom_site_type_symbol
_atom_site_fract_x
_atom_site_fract_y
_atom_site_fract_z
Ce1 Ce 0.0000 0.0736 0.2500
Ho1 Ho 0.0000 0.2037 0.7500
Ga1 Ga 0.0000 0.3223 0.7500
Ga2 Ga 0.0000 0.3793 0.2500
Ga3 Ga 0.0000 0.4756 0.2500
# E in eV/f.u.: -22.63
# Volume in Å³ per cell: 457.7
# Fermi-level density of states in states/eV/atom: 1.33

=====

Record 4
# Ce2HoGa2 (PBE, relaxed)
data_Ce2HoGa2
_chemical_formula_sum 'Ce4 Ho2 Ga4'
_symmetry_space_group_name_H-M 'P 1 21/m 1'
_symmetry_Int_Tables_number 11
_cell_length_a 6.1656
_cell_length_b 4.2890
_cell_length_c 9.7824
_cell_angle_alpha 90.00
_cell_angle_beta 105.11
_cell_angle_gamma 90.00
loop_
_symmetry_equiv_pos_as_xyz
'x,y,z'
'-x,-y,-z'
'-x,y+1/2,-z'
'x,-y+1/2,z'
loop_
_atom_site_label
_atom_site_type_symbol
_atom_site_fract_x
_atom_site_fract_y
_atom_site_fract_z
Ce1 Ce 0.0566 0.2500 0.3355
Ce2 Ce 0.1289 0.2500 0.0613
Ho1 Ho 0.4511 0.2500 0.7380
Ga1 Ga 0.3662 0.7500 0.5186
Ga2 Ga 0.3683 0.7500 0.9350
# E in eV/f.u.: -24.27
# Volume in Å³ per cell: 249.7
# Fermi-level density of states in states/eV/atom: 1.90

=====

Record 5
# CeHoGa4 (PBE, relaxed)
data_CeHoGa4
_chemical_formula_sum 'Ce1 Ho1 Ga4'
_symmetry_space_group_name_H-M 'P 6/m m m'
_symmetry_Int_Tables_number 191
_symmetry_space_group_name_Hall '-P 6 2'
_cell_length_a 4.2470
_cell_length_b 4.2470
_cell_length_c 8.2255
_cell_angle_alpha 90.00
_cell_angle_beta 90.00
_cell_angle_gamma 120.00
loop_
_atom_site_label
_atom_site_type_symbol
_atom_site_fract_x
_atom_site_fract_y
_atom_site_fract_z
Ce1 Ce 0.0000 0.0000 0.0000
Ho1 Ho 0.0000 0.0000 0.5000
Ga1 Ga 0.3333 0.6667 0.2538
# E in eV/f.u.: -26.30
# Volume in Å³ per cell: 128.5
# Fermi-level density of states in states/eV/atom: 1.01

=====

Record 6
# Ce4Ho3Ga4 (PBE, relaxed)
data_Ce4Ho3Ga4
_chemical_formula_sum 'Ce8 Ho6 Ga8'
_symmetry_space_group_name_H-M 'I m m m'
_symmetry_Int_Tables_number 71
_symmetry_space_group_name_Hall '-I 2 2'
_cell_length_a 3.4595
_cell_length_b 8.7628
_cell_length_c 18.5063
_cell_angle_alpha 90.00
_cell_angle_beta 90.00
_cell_angle_gamma 90.00
loop_
_atom_site_label
_atom_site_type_symbol
_atom_site_fract_x
_atom_site_fract_y
_atom_site_fract_z
Ce1 Ce 0.0000 0.1601 0.1651
Ho1 Ho 0.0000 0.0000 0.4071
Ho2 Ho 0.0000 0.5000 0.5000
Ga1 Ga 0.0000 0.2790 0.0000
Ga2 Ga 0.0000 0.5000 0.2195
# E in eV/f.u.: -53.77
# Volume in Å³ per cell: 561.0
# Fermi-level density of states in states/eV/atom: 1.68

=====

Record 7
# Ce3HoGa8 (PBE, relaxed)
data_Ce3HoGa8
_chemical_formula_sum 'Ce9 Ho3 Ga24'
_symmetry_space_group_name_H-M 'R 3 m'
_symmetry_Int_Tables_number 160
_symmetry_space_group_name_Hall 'R 3 -2"'
_cell_length_a 5.5588
_cell_length_b 5.5588
_cell_length_c 27.2792
_cell_angle_alpha 90.00
_cell_angle_beta 90.00
_cell_angle_gamma 120.00
loop_
_atom_site_label
_atom_site_type_symbol
_atom_site_fract_x
_atom_site_fract_y
_atom_site_fract_z
Ce1 Ce 0.0000 0.0000 0.0000
Ce2 Ce 0.0000 0.0000 0.1234
Ce3 Ce 0.0000 0.0000 0.6274
Ho1 Ho 0.0000 0.0000 0.5008
Ga1 Ga 0.0000 0.0000 0.3123
Ga2 Ga 0.0000 0.0000 0.8131
Ga3 Ga 0.0011 0.5006 0.0641
Ga4 Ga 0.1674 0.3347 0.8951
# E in eV/f.u.: -52.93
# Volume in Å³ per cell: 730.0
# Fermi-level density of states in states/eV/atom: 1.52

=====

Record 8
# Ce2HoGa6 (PBE, relaxed)
data_Ce2HoGa6
_chemical_formula_sum 'Ce4 Ho2 Ga12'
_symmetry_space_group_name_H-M 'I m m m'
_symmetry_Int_Tables_number 71
_symmetry_space_group_name_Hall '-I 2 2'
_cell_length_a 4.4337
_cell_length_b 7.0573
_cell_length_c 13.0489
_cell_angle_alpha 90.00
_cell_angle_beta 90.00
_cell_angle_gamma 90.00
loop_
_atom_site_label
_atom_site_type_symbol
_atom_site_fract_x
_atom_site_fract_y
_atom_site_fract_z
Ce1 Ce 0.0000 0.0000 0.1063
Ho1 Ho 0.0000 0.5000 0.0000
Ga1 Ga 0.0000 0.1932 0.3091
Ga2 Ga 0.0000 0.2871 0.5000
# E in eV/f.u.: -38.11
# Volume in Å³ per cell: 408.3
# Fermi-level density of states in states/eV/atom: 1.10

=====

Record 9
# Ce3HoGa2 (PBE, relaxed)
data_Ce3HoGa2
_chemical_formula_sum 'Ce12 Ho4 Ga8'
_symmetry_space_group_name_H-M 'C 1 2/m 1'
_symmetry_Int_Tables_number 12
_cell_length_a 17.5307
_cell_length_b 4.3246
_cell_length_c 8.5736
_cell_angle_alpha 90.00
_cell_angle_beta 116.38
_cell_angle_gamma 90.00
loop_
_symmetry_equiv_pos_as_xyz
'x,y,z'
'-x,-y,-z'
'-x,y,-z'
'x,-y,z'
'x+1/2,y+1/2,z'
'-x+1/2,-y+1/2,-z'
'-x+1/2,y+1/2,-z'
'x+1/2,-y+1/2,z'
loop_
_atom_site_label
_atom_site_type_symbol
_atom_site_fract_x
_atom_site_fract_y
_atom_site_fract_z
Ce1 Ce 0.0685 0.0000 0.4479
Ce2 Ce 0.1229 0.5000 0.6853
Ce3 Ce 0.2130 0.5000 0.4009
Ho1 Ho 0.1088 0.0000 0.0364
Ga1 Ga 0.0174 0.5000 0.1699
Ga2 Ga 0.2483 0.5000 0.0884
# E in eV/f.u.: -30.61
# Volume in Å³ per cell: 582.3
# Fermi-level density of states in states/eV/atom: 1.61

=====

Record 10
# Ce4HoGa4 (PBE, relaxed)
data_Ce4HoGa4
_chemical_formula_sum 'Ce8 Ho2 Ga8'
_symmetry_space_group_name_H-M 'P 42/n'
_symmetry_Int_Tables_number 86
_cell_length_a 8.5638
_cell_length_b 8.5638
_cell_length_c 5.8900
_cell_angle_alpha 90.00
_cell_angle_beta 90.00
_cell_angle_gamma 90.00
loop_
_symmetry_equiv_pos_as_xyz
'x,y,z'
'-x,-y,-z'
'-y,x+1/2,z+1/2'
'y,-x+1/2,-z+1/2'
'-x+1/2,-y+1/2,z'
'x+1/2,y+1/2,-z'
'y+1/2,-x,z+1/2'
'-y+1/2,x,-z+1/2'
loop_
_atom_site_label
_atom_site_type_symbol
_atom_site_fract_x
_atom_site_fract_y
_atom_site_fract_z
Ce1 Ce 0.0991 0.8173 0.1185
Ho1 Ho 0.2500 0.2500 0.7500
Ga1 Ga 0.0591 0.1403 0.3577
# E in eV/f.u.: -42.80
# Volume in Å³ per cell: 432.0
# Fermi-level density of states in states/eV/atom: 1.97

=====

Record 11
# CeHo3Ga4 (PBE, relaxed)
data_CeHo3Ga4
_chemical_formula_sum 'Ce3 Ho9 Ga12'
_symmetry_space_group_name_H-M 'R -3 m'
_symmetry_Int_Tables_number 166
_symmetry_space_group_name_Hall '-R 3 2"'
_cell_length_a 5.0488
_cell_length_b 5.0488
_cell_length_c 24.9591
_cell_angle_alpha 90.00
_cell_angle_beta 90.00
_cell_angle_gamma 120.00
loop_
_atom_site_label
_atom_site_type_symbol
_atom_site_fract_x
_atom_site_fract_y
_atom_site_fract_z
Ce1 Ce 0.0000 0.0000 0.0000
Ho1 Ho 0.0000 0.0000 0.2492
Ho2 Ho 0.0000 0.0000 0.5000
Ga1 Ga 0.0000 0.0000 0.1264
Ga2 Ga 0.0000 0.0000 0.3765
# E in eV/f.u.: -36.17
# Volume in Å³ per cell: 551.0
# Fermi-level density of states in states/eV/atom: 0.90

=====

Record 12
# CeHoGa6 (PBE, relaxed)
data_CeHoGa6
_chemical_formula_sum 'Ce1 Ho1 Ga6'
_symmetry_space_group_name_H-M 'P -6 m 2'
_symmetry_Int_Tables_number 187
_symmetry_space_group_name_Hall 'P -6 2'
_cell_length_a 6.3022
_cell_length_b 6.3022
_cell_length_c 4.5946
_cell_angle_alpha 90.00
_cell_angle_beta 90.00
_cell_angle_gamma 120.00
loop_
_atom_site_label
_atom_site_type_symbol
_atom_site_fract_x
_atom_site_fract_y
_atom_site_fract_z
Ce1 Ce 0.0000 0.0000 0.0000
Ho1 Ho 0.3333 0.6667 0.5000
Ga1 Ga 0.3744 0.1872 0.5000
Ga2 Ga 0.5186 0.0371 0.0000
# E in eV/f.u.: -32.98
# Volume in Å³ per cell: 158.0
# Fermi-level density of states in states/eV/atom: 0.66

=====

> Which formula does entry 7 have?

Ce3HoGa8

=====

> The highest volume belongs to which entry?

Ce3HoGa8

=====

> The highest volume belongs to which entry?

Ce3HoGa8